# 1
Crystalline Hf2SnBi at its relaxed geometry, computed with PBE.

Geometry as POSCAR:
```
Hf2SnBi
1.0
5.562 0.249 0.080
-2.891 2.657 -0.089
-0.093 0.104 6.140
Hf Bi Sn
2 1 1
Cartesian
-0.208 1.917 4.522
2.641 1.965 0.069
-0.160 1.863 1.379
2.593 2.020 3.303
```

Summary:
Relative energy among the computed polymorphs (meV/atom): 0
Volume (Å³ per cell): 95
ΔE_f (eV/atom): -0.166

=====

# 2
Crystalline HfSnBi2 at its relaxed geometry, computed with PBE.

Geometry as POSCAR:
```
HfSnBi2
1.0
6.885 0.000 0.000
0.000 6.885 0.000
3.443 3.443 6.905
Bi Hf Sn
4 2 2
Cartesian
1.514 5.164 1.726
8.607 8.814 5.178
5.164 4.956 5.178
5.372 1.721 1.726
6.885 3.443 3.452
0.000 0.000 0.000
3.443 6.885 3.452
3.443 3.443 0.000
```

Summary:
Volume (Å³ per cell): 327
ΔE_f (eV/atom): 0.359

=====

# 3
Crystalline Hf2SnBi at its relaxed geometry, computed with PBE.

Geometry as POSCAR:
```
Hf2SnBi
1.0
-0.193 2.938 -2.866
-0.155 -1.018 -3.978
-7.133 0.484 -1.968
Hf Bi Sn
2 1 1
Cartesian
-1.746 0.604 -2.208
-5.522 0.520 -2.040
-3.763 1.202 -4.405
-7.325 1.765 -6.532
```

Summary:
Relative energy among the computed polymorphs (meV/atom): 113
Volume (Å³ per cell): 103
ΔE_f (eV/atom): -0.053

=====

# 4
Crystalline Hf2SnBi at its relaxed geometry, computed with PBE.

Geometry as POSCAR:
```
Hf2SnBi
1.0
0.000 3.597 3.597
3.597 0.000 3.597
3.597 3.597 0.000
Hf Bi Sn
2 1 1
Cartesian
5.396 5.396 5.396
1.799 1.799 1.799
3.597 3.597 3.597
0.000 0.000 0.000
```

Summary:
Relative energy among the computed polymorphs (meV/atom): 170
Volume (Å³ per cell): 93
ΔE_f (eV/atom): 0.004

=====

# 5
Crystalline Hf2SnBi2 at its relaxed geometry, computed with PBE.

Geometry as POSCAR:
```
Hf2SnBi2
1.0
-8.233 -1.837 0.651
1.540 -4.402 7.060
-0.526 3.076 2.032
Sn Bi Hf
2 4 4
Cartesian
-3.347 -3.119 3.855
0.000 0.000 0.000
-5.165 -1.896 1.533
-5.933 -4.439 5.184
-1.528 -4.343 6.177
-0.761 -1.799 2.526
-0.376 -1.486 5.563
-6.843 -1.677 4.180
-4.129 -3.444 7.556
-3.091 0.281 2.187
```

Summary:
Relative energy among the computed polymorphs (meV/atom): 0
Volume (Å³ per cell): 267
ΔE_f (eV/atom): 0.166

=====

# 6
Crystalline Hf7Sn2Bi2 at its relaxed geometry, computed with PBE.

Geometry as POSCAR:
```
Hf7Sn2Bi2
1.0
5.604 -0.780 -0.891
-1.231 7.165 0.054
-1.231 -0.900 7.109
Hf Bi Sn
7 2 2
Cartesian
2.328 5.768 2.340
-0.466 1.673 1.913
2.328 1.552 6.028
0.815 3.934 0.243
0.815 -0.282 3.931
2.802 -0.390 -0.446
3.609 3.813 4.359
2.559 1.789 2.045
0.584 3.697 4.227
-1.231 0.409 5.964
-1.231 5.856 1.199
```

Summary:
Volume (Å³ per cell): 270
ΔE_f (eV/atom): 0.080